{
  "formula": "KBaSi2H",
  "functional": "meta-GGA SCAN",
  "state": "PBEsol geometry",
  "cell": [[4.554, 0.000, 0.000], [0.000, 4.554, 0.000], [0.000, 0.000, 5.074]],
  "species": ["K", "Ba", "Si", "Si", "H"],
  "frac_coords": [[0.000, 0.000, 0.000], [0.500, 0.500, 0.000], [0.000, 0.500, 0.500], [0.500, 0.000, 0.500], [0.000, 0.000, 0.500]],
  "energy_ev_per_cell": -69.66,
  "rho_g_cm3": 3.69,
  "n_ef_per_ev_atom": 0.30,
  "space_group": "P4/mmm (123)"
}